Version 1
TlAs2Br | PBE | optimized geometry

Geometry as extended XYZ:
```
4
Lattice="-1.805 4.663 -4.364 1.759 -1.819 -2.671 -4.338 -2.658 -1.045" Properties=species:S:1:pos:R:3 pbc="T T T"
As -1.720 -2.485 -1.944
As -3.909 -2.411 -0.959
Br -1.548 1.212 -3.111
Tl -2.837 -1.026 -4.969
```


Version 2
TlAs2Br | PBE | optimized geometry

Geometry as extended XYZ:
```
4
Lattice="4.972 0.000 0.000 0.000 4.972 0.000 0.000 0.000 6.187" Properties=species:S:1:pos:R:3 pbc="T T T"
As 0.000 0.000 3.556
As 0.000 0.000 5.725
Tl 2.486 2.486 4.641
Br 2.486 2.486 1.547
```


The most stable of them is version 1.


Version 1
TlAs3Br | PBE | optimized geometry

Geometry as extended XYZ:
```
5
Lattice="-3.668 -0.415 -3.683 -2.166 -3.965 2.603 -3.008 3.361 2.617" Properties=species:S:1:pos:R:3 pbc="T T T"
Br 0.000 0.000 0.000
Tl -4.421 -0.510 0.768
As -1.504 1.680 1.308
As -1.834 -0.207 -1.842
As -1.083 -1.983 1.302
```


Version 2
TlAs3Br | PBE | optimized geometry

Geometry as extended XYZ:
```
5
Lattice="5.410 0.000 0.000 0.000 5.410 0.000 0.000 0.000 5.410" Properties=species:S:1:pos:R:3 pbc="T T T"
Br 2.705 2.705 2.705
As 2.705 0.000 0.000
As 0.000 0.000 2.705
As 0.000 2.705 0.000
Tl 0.000 0.000 0.000
```


The most stable of them is version 1.


Version 1
YTlAs2Br | PBE | optimized geometry

Geometry as extended XYZ:
```
5
Lattice="5.522 0.000 0.000 0.000 5.522 0.000 0.000 0.000 5.675" Properties=species:S:1:pos:R:3 pbc="T T T"
As 2.761 0.000 0.000
As 0.000 2.761 0.000
Tl 2.761 2.761 2.838
Y 0.000 0.000 0.000
Br 0.000 0.000 2.838
```


Version 2
YTlAs2Br | PBE | optimized geometry

Geometry as extended XYZ:
```
5
Lattice="-2.709 2.605 -3.659 -4.485 -1.804 2.036 -0.261 4.405 3.329" Properties=species:S:1:pos:R:3 pbc="T T T"
As -2.243 -0.902 1.018
As -1.354 1.303 -1.830
Tl 0.000 0.000 0.000
Br -0.130 2.202 1.665
Y -3.727 2.603 0.853
```


The most stable of them is version 1.


Version 1
YTlAsBr2 | PBE | optimized geometry

Geometry as extended XYZ:
```
5
Lattice="-2.152 3.450 3.725 -4.063 -3.596 0.983 3.002 -2.328 3.890" Properties=species:S:1:pos:R:3 pbc="T T T"
Br -2.031 -1.798 0.492
Br -1.076 1.725 1.863
Y -1.606 -1.237 4.299
As 1.501 -1.164 1.945
Tl 0.000 0.000 0.000
```


Version 2
YTlAsBr2 | PBE | optimized geometry

Geometry as extended XYZ:
```
5
Lattice="-1.172 1.867 -5.134 -4.209 -3.655 -0.369 -3.539 3.852 2.208" Properties=species:S:1:pos:R:3 pbc="T T T"
Br -0.586 0.933 -2.567
Br -2.104 -1.828 -0.184
Tl -4.460 1.032 -1.647
Y 0.000 0.000 0.000
As -1.769 1.926 1.104
```


The most stable of them is version 2.


Version 1
TlZnAs2Br | PBE | optimized geometry

Geometry as extended XYZ:
```
5
Lattice="5.489 0.000 0.000 0.000 5.489 0.000 0.000 0.000 5.838" Properties=species:S:1:pos:R:3 pbc="T T T"
Br 0.000 0.000 2.919
Tl 0.000 0.000 0.000
Zn 2.745 2.745 2.919
As 0.000 2.745 0.000
As 2.745 0.000 0.000
```


Version 2
TlZnAs2Br | PBE | optimized geometry

Geometry as extended XYZ:
```
5
Lattice="-2.812 -3.567 1.662 3.935 -2.516 1.257 -0.078 2.594 5.436" Properties=species:S:1:pos:R:3 pbc="T T T"
As 1.968 -1.258 0.629
As -1.406 -1.784 0.831
Br -0.039 1.297 2.718
Zn 0.000 0.000 0.000
Tl 0.523 -1.745 4.178
```


The most stable of them is version 2.


Version 1
ZrTlAsBr2 | PBE | optimized geometry

Geometry as extended XYZ:
```
5
Lattice="5.494 0.000 0.000 0.000 5.494 0.000 0.000 0.000 5.412" Properties=species:S:1:pos:R:3 pbc="T T T"
As 0.000 0.000 2.706
Br 0.000 2.747 0.000
Br 2.747 0.000 0.000
Tl 0.000 0.000 0.000
Zr 2.747 2.747 2.706
```


Version 2
ZrTlAsBr2 | PBE | optimized geometry

Geometry as extended XYZ:
```
5
Lattice="5.460 0.000 0.000 0.000 5.460 0.000 0.000 0.000 5.249" Properties=species:S:1:pos:R:3 pbc="T T T"
Zr 0.000 0.000 0.000
Br 0.000 2.730 0.000
Br 2.730 0.000 0.000
As 0.000 0.000 2.625
Tl 2.730 2.730 2.625
```


The most stable of them is version 2.